No. 1
First-principles (GGA-PBE) data for an optimized crystal structure of Al6Zn12In, as listed in the Alexandria database.

The structure belongs to space group R-3m (No. 166, hexagonal axes); the cell edges are 11.6162, 11.6162 and 8.6223 Å and the angles 90.00°, 90.00° and 120.00°. The distinct sites, in fractional coordinates, are Al at (0.0705, 0.5353, 0.2283), Zn at (0.0000, 0.3900, 0.5000), Zn at (0.0815, 0.1629, 0.2700) and In at (0.0000, 0.0000, 0.0000).

For the formation energy, the calculation gives 99 meV per atom. The value obtained for the volume is 1007.6 Å³ per cell. The density of states at the Fermi level is 19.94 states/eV/cell.

***

No. 2
First-principles (GGA-PBE) data for an optimized crystal structure of Dy3Tm7, as listed in the Alexandria database.

The structure belongs to space group P6_3mc (No. 186); the cell edges are 10.6230, 10.6230 and 6.3325 Å and the angles 90.00°, 90.00° and 120.00°. The distinct sites, in fractional coordinates, are Dy at (0.2060, 0.4120, 0.0000), Tm at (0.0578, 0.5289, 0.3453), Tm at (0.1206, 0.2413, 0.5174) and Tm at (0.3333, 0.6667, 0.6491).

For the formation energy, the calculation gives 200 meV per atom. The value obtained for the volume is 618.9 Å³ per cell. The energy above the most stable polymorph in this dataset is 143 meV per atom. The density of states at the Fermi level is 38.09 states/eV/cell.

***

No. 3
First-principles (GGA-PBE) data for an optimized crystal structure of TbYHo4Sc2, as listed in the Alexandria database.

The structure belongs to space group C2/c (No. 15); the cell edges are 13.264, 12.943 and 6.646 Å and the angles 90.00°, 120.04° and 90.00°. The distinct sites, in fractional coordinates, are Tb at (0.000, 0.000, 0.000), Y at (0.250, 0.250, 0.000), Ho at (0.000, 0.261, 0.008), Ho at (0.238, 0.490, 0.486), Sc at (0.000, 0.500, 0.000) and Sc at (0.250, 0.250, 0.500).

For the formation energy, the calculation gives 446 meV per atom. The value obtained for the volume is 987.8 Å³ per cell. The density of states at the Fermi level is 69.09 states/eV/cell.

***

No. 4
First-principles (GGA-PBE) data for an optimized crystal structure of La2MgZn4Ag3, as listed in the Alexandria database.

The structure belongs to space group P-4m2 (No. 115); the cell edges are 4.251, 4.251 and 12.044 Å and the angles 90.00°, 90.00° and 90.00°. The distinct sites, in fractional coordinates, are La at (0.000, 0.500, 0.243), Mg at (0.000, 0.000, 0.500), Zn at (0.000, 0.000, 0.000), Zn at (0.000, 0.500, 0.645), Zn at (0.500, 0.500, 0.000), Ag at (0.000, 0.500, 0.864) and Ag at (0.500, 0.500, 0.500).

For the formation energy, the calculation gives -257 meV per atom. The value obtained for the volume is 217.7 Å³ per cell. The density of states at the Fermi level is 5.68 states/eV/cell.

***

No. 5
First-principles (GGA-PBE) data for an optimized crystal structure of AcPmScGa, as listed in the Alexandria database.

The structure belongs to space group F-43m (No. 216); the cell edges are 7.637, 7.637 and 7.637 Å and the angles 90.00°, 90.00° and 90.00°. The distinct sites, in fractional coordinates, are Ac at (0.000, 0.000, 0.000), Pm at (0.250, 0.250, 0.750), Sc at (0.250, 0.250, 0.250) and Ga at (0.000, 0.000, 0.500).

For the formation energy, the calculation gives 44 meV per atom. The value obtained for the volume is 445.4 Å³ per cell. The density of states at the Fermi level is 29.46 states/eV/cell.

***

No. 6
First-principles (GGA-PBE) data for an optimized crystal structure of BaTlN2, as listed in the Alexandria database.

The structure belongs to space group I-42d (No. 122); the cell edges are 6.498, 6.498 and 7.684 Å and the angles 90.00°, 90.00° and 90.00°. The distinct sites, in fractional coordinates, are Ba at (0.000, 0.000, 0.000), Tl at (0.000, 0.000, 0.500) and N at (0.188, 0.750, 0.625).

The value obtained for the volume is 324.4 Å³ per cell. The energy above the most stable polymorph in this dataset is 0 meV per atom. The formation energy without anion corrections is 0.499 eV per atom. The density of states at the Fermi level is 7.78 states/eV/cell.

***

No. 7
First-principles (GGA-PBE) data for an optimized crystal structure of Hf2ZrMn, as listed in the Alexandria database.

The structure belongs to space group Fm-3m (No. 225); the cell edges are 6.704, 6.704 and 6.704 Å and the angles 90.00°, 90.00° and 90.00°. The distinct sites, in fractional coordinates, are Hf at (0.250, 0.250, 0.250), Zr at (0.000, 0.000, 0.000) and Mn at (0.000, 0.000, 0.500).

For the formation energy, the calculation gives 209 meV per atom. The value obtained for the volume is 301.3 Å³ per cell. The energy above the most stable polymorph in this dataset is 266 meV per atom. The density of states at the Fermi level is 24.13 states/eV/cell.

***

No. 8
First-principles (GGA-PBE) data for an optimized crystal structure of Ho7Tm, as listed in the Alexandria database.

The structure belongs to space group Immm (No. 71); the cell edges are 3.501, 10.987 and 12.823 Å and the angles 90.00°, 90.00° and 90.00°. The distinct sites, in fractional coordinates, are Ho at (0.000, 0.000, 0.000), Ho at (0.000, 0.000, 0.260), Ho at (0.000, 0.268, 0.367) and Tm at (0.000, 0.500, 0.000).

For the formation energy, the calculation gives 42 meV per atom. The value obtained for the volume is 493.2 Å³ per cell. The energy above the most stable polymorph in this dataset is 19 meV per atom. The density of states at the Fermi level is 26.46 states/eV/cell.

***

Number 5 is which compound? AcPmScGa

***

What did the second record say?
First-principles (GGA-PBE) data for an optimized crystal structure of Dy3Tm7, as listed in the Alexandria database.

The structure belongs to space group P6_3mc (No. 186); the cell edges are 10.6230, 10.6230 and 6.3325 Å and the angles 90.00°, 90.00° and 120.00°. The distinct sites, in fractional coordinates, are Dy at (0.2060, 0.4120, 0.0000), Tm at (0.0578, 0.5289, 0.3453), Tm at (0.1206, 0.2413, 0.5174) and Tm at (0.3333, 0.6667, 0.6491).

For the formation energy, the calculation gives 200 meV per atom. The value obtained for the volume is 618.9 Å³ per cell. The energy above the most stable polymorph in this dataset is 143 meV per atom. The density of states at the Fermi level is 38.09 states/eV/cell.